(1)
First-principles (GGA-PBE) data for a relaxed MgSc2Br crystal, as listed in Alexandria via LeMat-Bulk.

Cell: 5.525 5.525 5.668 Å, 107.66 107.66 35.58°
Sites, in units of the cell vectors:
Mg 0.000 0.000 0.000
Sc 0.227 0.227 0.738
Sc 0.773 0.773 0.262
Br 0.500 0.500 0.500

Calculated values
- ΔE to the lowest computed polymorph: 171 meV/atom
- Size of the total moment: 0.0 μB/cell
- E_form (uncorrected): -235.3 meV per atom
- Crystal system: monoclinic
- SG: C2/m

=====

(2)
First-principles (GGA-PBE) data for a relaxed NaPu4N5 crystal, as listed in Alexandria via LeMat-Bulk.

Cell: 9.318 9.318 9.318 Å, 158.27 150.34 37.06°
Sites, in units of the cell vectors:
Na 0.000 0.000 0.000
Pu 0.202 0.202 0.000
Pu 0.405 0.405 0.000
Pu 0.595 0.595 0.000
Pu 0.798 0.798 0.000
N 0.121 0.621 0.500
N 0.312 0.812 0.500
N 0.500 0.000 0.500
N 0.688 0.188 0.500
N 0.879 0.379 0.500

Calculated values
- Size of the total moment: 18.0 μB/cell
- E_form (uncorrected): -1077.4 meV per atom
- Crystal system: orthorhombic
- SG: Immm